A plane-wave DFT calculation with GGA-PBEsol was carried out for an optimized crystal structure of ReTcAs3.

Calculated values
- SG = Pm-3m (221)
- ΔH_f (0 K) (eV/atom) = 1.4325
- D(E_F) (states/eV/f.u.) = 5.63
- electronic total energy (eV per atom) = -6.551

Cell: 4.6872 4.6872 4.6872 Å, 90.00 90.00 90.00°
Last column: magnetic moment on the atom in μB.
Atoms (fractional coordinates):
Re 0.5000 0.5000 0.5000  2.63
As 0.0000 0.5000 0.0000  -0.10
As 0.0000 0.0000 0.5000  -0.10
As 0.5000 0.0000 0.0000  -0.10
Tc 0.0000 0.0000 0.0000  0.03